# Cd2AsH2 | the Alexandria database | SCAN | single point on PBEsol structure
# N(E_F): 0.23 states/eV per atom
data_Cd2AsH2
_cell_length_a 4.890
_cell_length_b 4.890
_cell_length_c 6.244
_cell_angle_alpha 90.00
_cell_angle_beta 90.00
_cell_angle_gamma 90.00
_symmetry_space_group_name_H-M 'I 4/m m m'
_symmetry_Int_Tables_number 139
_symmetry_space_group_name_Hall '-I 4 2'
loop_
_atom_site_label
_atom_site_type_symbol
_atom_site_fract_x
_atom_site_fract_y
_atom_site_fract_z
_atom_site_occupancy
Cd1 Cd 0.000 0.500 0.250 1
As1 As 0.000 0.000 0.000 1
H1 H 0.000 0.000 0.437 1

=====

# CdIn2AsH | the Alexandria database | SCAN | single point on PBEsol structure
# N(E_F): 0.35 states/eV per atom
data_CdIn2AsH
_cell_length_a 4.783
_cell_length_b 4.783
_cell_length_c 4.205
_cell_angle_alpha 90.00
_cell_angle_beta 90.00
_cell_angle_gamma 90.00
_symmetry_space_group_name_H-M 'P 4/m m m'
_symmetry_Int_Tables_number 123
_symmetry_space_group_name_Hall '-P 4 2'
loop_
_atom_site_label
_atom_site_type_symbol
_atom_site_fract_x
_atom_site_fract_y
_atom_site_fract_z
_atom_site_occupancy
Cd1 Cd 0.000 0.000 0.000 1
In1 In 0.000 0.500 0.500 1
As1 As 0.500 0.500 0.000 1
H1 H 0.000 0.000 0.500 1

=====

# HfCd3As | the Alexandria database | SCAN | single point on PBEsol structure
# N(E_F): 0.69 states/eV per atom
# calculated formation energy: 86.6 kJ per mole of atoms
data_HfCd3As
_cell_length_a 5.031
_cell_length_b 5.031
_cell_length_c 5.031
_cell_angle_alpha 90.00
_cell_angle_beta 90.00
_cell_angle_gamma 90.00
_symmetry_space_group_name_H-M 'P m -3 m'
_symmetry_Int_Tables_number 221
_symmetry_space_group_name_Hall '-P 4 2 3'
loop_
_atom_site_label
_atom_site_type_symbol
_atom_site_fract_x
_atom_site_fract_y
_atom_site_fract_z
_atom_site_occupancy
Hf1 Hf 0.000 0.000 0.000 1
Cd1 Cd 0.000 0.500 0.500 1
As1 As 0.500 0.500 0.500 1

=====

# CdHg2As | the Alexandria database | SCAN | single point on PBEsol structure
# N(E_F): 0.28 states/eV per atom
# excess energy over the best structure of this formula in the dataset: 0.00 eV per formula unit
# calculated formation energy: 15.5 kJ per mole of atoms
data_CdHg2As
_cell_length_a 3.4353
_cell_length_b 3.4353
_cell_length_c 25.5353
_cell_angle_alpha 90.00
_cell_angle_beta 90.00
_cell_angle_gamma 120.00
_symmetry_space_group_name_H-M 'R -3 m'
_symmetry_Int_Tables_number 166
_symmetry_space_group_name_Hall '-R 3 2"'
loop_
_atom_site_label
_atom_site_type_symbol
_atom_site_fract_x
_atom_site_fract_y
_atom_site_fract_z
_atom_site_occupancy
Cd1 Cd 0.0000 0.0000 0.0000 1
Hg1 Hg 0.0000 0.0000 0.2484 1
As1 As 0.0000 0.0000 0.5000 1

=====

# CdHg2As | the Alexandria database | SCAN | single point on PBEsol structure
# N(E_F): 0.59 states/eV per atom
# excess energy over the best structure of this formula in the dataset: 0.24 eV per formula unit
# calculated formation energy: 21.2 kJ per mole of atoms
data_CdHg2As
_cell_length_a 7.018
_cell_length_b 7.018
_cell_length_c 7.018
_cell_angle_alpha 90.00
_cell_angle_beta 90.00
_cell_angle_gamma 90.00
_symmetry_space_group_name_H-M 'F -4 3 m'
_symmetry_Int_Tables_number 216
_symmetry_space_group_name_Hall 'F -4 2 3'
loop_
_atom_site_label
_atom_site_type_symbol
_atom_site_fract_x
_atom_site_fract_y
_atom_site_fract_z
_atom_site_occupancy
Cd1 Cd 0.000 0.000 0.000 1
Hg1 Hg 0.000 0.000 0.500 1
Hg2 Hg 0.250 0.250 0.250 1
As1 As 0.250 0.250 0.750 1

=====

# NbCdHgAs2 | the Alexandria database | SCAN | single point on PBEsol structure
# N(E_F): 0.67 states/eV per atom
# calculated formation energy: 115.8 kJ per mole of atoms
data_NbCdHgAs2
_cell_length_a 4.922
_cell_length_b 4.922
_cell_length_c 5.381
_cell_angle_alpha 90.00
_cell_angle_beta 90.00
_cell_angle_gamma 90.00
_symmetry_space_group_name_H-M 'P 4/m m m'
_symmetry_Int_Tables_number 123
_symmetry_space_group_name_Hall '-P 4 2'
loop_
_atom_site_label
_atom_site_type_symbol
_atom_site_fract_x
_atom_site_fract_y
_atom_site_fract_z
_atom_site_occupancy
Nb1 Nb 0.000 0.000 0.000 1
Cd1 Cd 0.000 0.000 0.500 1
Hg1 Hg 0.500 0.500 0.000 1
As1 As 0.000 0.500 0.500 1

=====

# Cd2AsI | the Alexandria database | SCAN | single point on PBEsol structure
# formation energy (no corrections): -0.3277 eV per atom
data_Cd2AsI
_cell_length_a 6.378
_cell_length_b 6.378
_cell_length_c 12.907
_cell_angle_alpha 90.00
_cell_angle_beta 90.00
_cell_angle_gamma 90.00
_symmetry_space_group_name_H-M 'I -4 2 d'
_symmetry_Int_Tables_number 122
_symmetry_space_group_name_Hall 'I -4 2bw'
loop_
_atom_site_label
_atom_site_type_symbol
_atom_site_fract_x
_atom_site_fract_y
_atom_site_fract_z
_atom_site_occupancy
Cd1 Cd 0.182 0.250 0.125 1
As1 As 0.000 0.000 0.000 1
I1 I 0.000 0.000 0.500 1

=====

# Cd3AsI | the Alexandria database | SCAN | single point on PBEsol structure
# N(E_F): 0.59 states/eV per atom
# formation energy (no corrections): 0.9712 eV per atom
data_Cd3AsI
_cell_length_a 5.560
_cell_length_b 5.560
_cell_length_c 5.560
_cell_angle_alpha 90.00
_cell_angle_beta 90.00
_cell_angle_gamma 90.00
_symmetry_space_group_name_H-M 'P m -3 m'
_symmetry_Int_Tables_number 221
_symmetry_space_group_name_Hall '-P 4 2 3'
loop_
_atom_site_label
_atom_site_type_symbol
_atom_site_fract_x
_atom_site_fract_y
_atom_site_fract_z
_atom_site_occupancy
Cd1 Cd 0.000 0.000 0.500 1
As1 As 0.500 0.500 0.500 1
I1 I 0.000 0.000 0.000 1

=====

# CdAsOs2I | the Alexandria database | SCAN | single point on PBEsol structure
# N(E_F): 0.85 states/eV per atom
# formation energy (no corrections): 2.5954 eV per atom
data_CdAsOs2I
_cell_length_a 4.962
_cell_length_b 4.962
_cell_length_c 4.717
_cell_angle_alpha 90.00
_cell_angle_beta 90.00
_cell_angle_gamma 90.00
_symmetry_space_group_name_H-M 'P 4/m m m'
_symmetry_Int_Tables_number 123
_symmetry_space_group_name_Hall '-P 4 2'
loop_
_atom_site_label
_atom_site_type_symbol
_atom_site_fract_x
_atom_site_fract_y
_atom_site_fract_z
_atom_site_occupancy
Cd1 Cd 0.000 0.000 0.000 1
As1 As 0.000 0.000 0.500 1
Os1 Os 0.000 0.500 0.000 1
I1 I 0.500 0.500 0.500 1

=====

# Cd4AsPI3 | the Alexandria database | SCAN | single point on PBEsol structure
# N(E_F): 0.00 states/eV per atom
# formation energy (no corrections): -0.3984 eV per atom
data_Cd4AsPI3
_cell_length_a 12.806
_cell_length_b 12.806
_cell_length_c 12.806
_cell_angle_alpha 90.00
_cell_angle_beta 90.00
_cell_angle_gamma 90.00
_symmetry_space_group_name_H-M 'P a -3'
_symmetry_Int_Tables_number 205
_symmetry_space_group_name_Hall '-P 2ac 2ab 3'
loop_
_atom_site_label
_atom_site_type_symbol
_atom_site_fract_x
_atom_site_fract_y
_atom_site_fract_z
_atom_site_occupancy
Cd1 Cd 0.003 0.238 0.533 1
Cd2 Cd 0.219 0.219 0.219 1
As1 As 0.104 0.104 0.104 1
P1 P 0.049 0.549 0.951 1
I1 I 0.058 0.741 0.690 1

=====

# CdAsPd2I | the Alexandria database | SCAN | single point on PBEsol structure
# N(E_F): 0.81 states/eV per atom
# formation energy (no corrections): 0.8881 eV per atom
data_CdAsPd2I
_cell_length_a 4.871
_cell_length_b 4.871
_cell_length_c 5.564
_cell_angle_alpha 90.00
_cell_angle_beta 90.00
_cell_angle_gamma 90.00
_symmetry_space_group_name_H-M 'P 4/m m m'
_symmetry_Int_Tables_number 123
_symmetry_space_group_name_Hall '-P 4 2'
loop_
_atom_site_label
_atom_site_type_symbol
_atom_site_fract_x
_atom_site_fract_y
_atom_site_fract_z
_atom_site_occupancy
Cd1 Cd 0.000 0.000 0.000 1
As1 As 0.500 0.500 0.000 1
Pd1 Pd 0.000 0.500 0.500 1
I1 I 0.000 0.000 0.500 1

=====

# CdTe2AsI | the Alexandria database | SCAN | single point on PBEsol structure
# N(E_F): 0.66 states/eV per atom
# formation energy (no corrections): 0.3463 eV per atom
data_CdTe2AsI
_cell_length_a 5.380
_cell_length_b 5.380
_cell_length_c 5.558
_cell_angle_alpha 90.00
_cell_angle_beta 90.00
_cell_angle_gamma 90.00
_symmetry_space_group_name_H-M 'P 4/m m m'
_symmetry_Int_Tables_number 123
_symmetry_space_group_name_Hall '-P 4 2'
loop_
_atom_site_label
_atom_site_type_symbol
_atom_site_fract_x
_atom_site_fract_y
_atom_site_fract_z
_atom_site_occupancy
Cd1 Cd 0.000 0.000 0.000 1
Te1 Te 0.000 0.500 0.500 1
As1 As 0.500 0.500 0.500 1
I1 I 0.500 0.500 0.000 1

=====

Number 1: total DFT energy (no corrections) -174.8 eV/cell. Number 2: total DFT energy (no corrections) -119.2 eV/cell. Number 3: total DFT energy (no corrections) -169.6 eV/cell. Number 4: total DFT energy (no corrections) -558.9 eV/cell. Number 5: total DFT energy (no corrections) -744.2 eV/cell. Number 6: total DFT energy (no corrections) -166.1 eV/cell. Number 7: total DFT energy (no corrections) -476.3 eV/cell. Number 8: total DFT energy (no corrections) -143.3 eV/cell. Number 9: total DFT energy (no corrections) -218.1 eV/cell. Number 10: total DFT energy (no corrections) -2128.5 eV/cell. Number 11: total DFT energy (no corrections) -148.5 eV/cell. Number 12: total DFT energy (no corrections) -160.1 eV/cell.